[1]
DFT (PBE) results for ZrTcMo4 after structural relaxation.

Properties
Uncorrected energy: -61.19 eV per formula unit
Symmetry: F-43m (216)

a b c (Å): 5.269 5.269 5.269
angles (deg): 60.00 60.00 60.00
Positions (direct):
Mo1 0.375 0.876 0.375
Tc1 0.750 0.750 0.750
Mo2 0.375 0.375 0.375
Mo3 0.876 0.375 0.375
Zr1 0.000 0.000 0.000
Mo4 0.375 0.375 0.876

[2]
DFT (PBE) results for NaTi2Br6 after structural relaxation.

Properties
Uncorrected energy: -37.08 eV per formula unit
Energy relative to the elements, uncorrected: -1.103 eV/atom
Symmetry: C2/c (15)
Energy relative to the lowest polymorph listed for this composition: 11.9 kJ/mol of atoms

a b c (Å): 7.372 9.603 9.603
angles (deg): 84.69 80.68 80.68
Positions (direct):
Br1 0.418 0.710 0.574
Br2 0.918 0.574 0.710
Na1 0.250 0.106 0.894
Br3 0.639 0.964 0.804
Ti1 0.287 0.211 0.380
Br4 0.082 0.426 0.290
Br5 0.628 0.609 0.131
Br6 0.128 0.131 0.609
Ti2 0.787 0.380 0.211
Ti3 0.213 0.620 0.789
Br7 0.861 0.196 0.036
Br8 0.372 0.391 0.869
Na2 0.750 0.894 0.106
Ti4 0.713 0.789 0.620
Br9 0.139 0.804 0.964
Br10 0.582 0.290 0.426
Br11 0.872 0.869 0.391
Br12 0.361 0.036 0.196

[3]
DFT (PBE) results for OsPt2Br after structural relaxation.

Properties
Uncorrected energy: -20.66 eV per formula unit
Energy relative to the elements, uncorrected: 1.081 eV/atom
Symmetry: Fm-3m (225)
Energy relative to the lowest polymorph listed for this composition: 61.7 kJ/mol of atoms

a b c (Å): 4.564 4.564 4.564
angles (deg): 60.00 60.00 60.00
Positions (direct):
Pt1 0.750 0.750 0.750
Pt2 0.250 0.250 0.250
Os1 0.500 0.500 0.500
Br1 0.000 0.000 0.000

[4]
DFT (PBE) results for RbPIr2 after structural relaxation.

Properties
Uncorrected energy: -24.57 eV per formula unit
Symmetry: P-1 (2)

a b c (Å): 4.386 7.092 7.285
angles (deg): 69.08 90.00 72.08
Positions (direct):
Ir1 0.758 0.483 0.584
Rb1 0.502 0.002 0.747
Rb2 0.498 0.998 0.253
Ir2 0.225 0.551 0.780
P1 0.776 0.447 0.905
Ir3 0.775 0.449 0.220
Ir4 0.242 0.517 0.416
P2 0.224 0.553 0.095